DFT (PBE) results for crystalline KSr3Ag at its relaxed geometry.

```
KSr3Ag
1.0
-0.766 -6.820 -0.064
2.127 -3.293 -5.634
10.546 0.169 5.587
Sr K Ag
6 2 2
direct
0.233 0.198 0.283
0.136 0.102 0.772
0.583 0.549 0.329
0.785 0.751 0.726
0.443 0.409 0.613
0.925 0.891 0.441
0.500 0.466 0.966
0.868 0.834 0.088
0.978 0.355 0.527
0.390 0.944 0.527
```

Output
- E above lowest polymorph (eV/atom) = 0.000
- energy of formation (eV/f.u.) = -0.4
- magnetic moment (Bohr magnetons per cell) = 0.00
- E (eV per cell) = -18.72